No. 1
First-principles (PBE) data for NaLiNiTe after structural relaxation, as listed in OQMD via LeMat-Bulk.

abc: 4.5657 4.5657 4.5657
angles: 60.00 60.00 60.00
Element x y z (fractional)
Na1 0.0000 0.0000 0.0000
Li1 0.7500 0.7500 0.7500
Ni1 0.2500 0.2500 0.2500
Te1 0.5000 0.5000 0.5000

Output
**Crystal system**: cubic
**Symmetry**: F-43m (216)
**Final energy**: -3.269 eV per atom

No. 2
First-principles (PBE) data for GdTaN2O after structural relaxation, as listed in OQMD via LeMat-Bulk.

abc: 5.5469 9.7650 9.7659
angles: 71.74 89.99 89.99
Element x y z (fractional)
Gd1 0.0000 0.0000 0.0000
Gd2 0.0012 0.4985 0.5033
Gd3 0.4658 0.2563 0.7432
Gd4 0.4729 0.7592 0.2452
Gd5 0.4962 0.0595 0.4407
Gd6 0.5042 0.5618 0.9395
Gd7 0.9670 0.3053 0.1966
Gd8 0.9716 0.8013 0.7011
Ta1 0.0029 0.4138 0.8467
Ta2 0.0030 0.6496 0.0976
Ta3 0.4652 0.1491 0.0915
Ta4 0.4954 0.4192 0.3365
Ta5 0.5014 0.6557 0.5888
Ta6 0.5019 0.9061 0.8542
Ta7 0.9631 0.1494 0.5890
Ta8 0.9947 0.8956 0.3602
N1 0.0801 0.0157 0.4891
N2 0.0814 0.5172 0.9873
N3 0.1770 0.5337 0.2754
N4 0.1774 0.7293 0.4687
N5 0.1810 0.2313 0.9703
N6 0.2695 0.7900 0.0191
N7 0.2723 0.9848 0.2181
N8 0.2740 0.4823 0.7203
N9 0.5797 0.5446 0.4576
N10 0.5819 0.0498 0.9569
N11 0.6764 0.8345 0.4729
N12 0.6784 0.0287 0.6712
N13 0.6789 0.5288 0.1709
N14 0.7709 0.5784 0.7289
N15 0.7724 0.2770 0.4245
N16 0.7725 0.7795 0.9242
O1 0.1789 0.0430 0.7738
O2 0.2685 0.2849 0.5297
O3 0.3686 0.2635 0.2443
O4 0.3716 0.7667 0.7404
O5 0.6793 0.3332 0.9861
O6 0.7685 0.0889 0.2271
O7 0.8696 0.8060 0.2027
O8 0.8707 0.2965 0.7096

Output
**Crystal system**: triclinic
**Symmetry**: P1 (1)
**Final energy**: -9.598 eV per atom

No. 3
First-principles (PBE) data for HfZr2Hg2 after structural relaxation, as listed in OQMD via LeMat-Bulk.

abc: 7.1679 7.1679 7.1679
angles: 145.11 145.11 50.18
Element x y z (fractional)
Hf1 0.0000 0.0000 0.0000
Zr1 0.3987 0.3987 0.0000
Zr2 0.6013 0.6013 0.0000
Hg1 0.2500 0.7500 0.5000
Hg2 0.7500 0.2500 0.5000

Output
**DFT formation energy**: 0.40 eV per atom
**Crystal system**: tetragonal
**Symmetry**: I4/mmm (139)
**Final energy**: -5.129 eV per atom

No. 4
First-principles (PBE) data for Gd3Mg3Hg2Ir after structural relaxation, as listed in OQMD via LeMat-Bulk.

abc: 7.4805 7.4805 4.4163
angles: 90.00 90.00 120.00
Element x y z (fractional)
Gd1 0.0000 0.3894 0.0000
Gd2 0.3894 0.0000 0.0000
Gd3 0.6106 0.6106 0.0000
Mg1 0.0000 0.7687 0.5000
Mg2 0.2313 0.2313 0.5000
Mg3 0.7687 0.0000 0.5000
Hg1 0.3333 0.6667 0.5000
Hg2 0.6667 0.3333 0.5000
Ir1 0.0000 0.0000 0.0000

Output
**Crystal system**: hexagonal
**Symmetry**: P-62m (189)
**Final energy**: -3.580 eV per atom

No. 5
First-principles (PBE) data for SnHgB4 after structural relaxation, as listed in OQMD via LeMat-Bulk.

abc: 3.0916 3.0916 9.0596
angles: 90.00 90.00 120.00
Element x y z (fractional)
Sn1 0.0000 0.0000 0.0000
Hg1 0.0000 0.0000 0.5000
B1 0.3333 0.6667 0.2406
B2 0.3333 0.6667 0.7594
B3 0.6667 0.3333 0.2406
B4 0.6667 0.3333 0.7594

Output
**Crystal system**: hexagonal
**Symmetry**: P6/mmm (191)
**Final energy**: -4.495 eV per atom

No. 6
First-principles (PBE) data for ScFeTcBi after structural relaxation, as listed in OQMD via LeMat-Bulk.

abc: 4.6192 4.6192 4.6192
angles: 60.00 60.00 60.00
Element x y z (fractional)
Sc1 0.0000 0.0000 0.0000
Fe1 0.5000 0.5000 0.5000
Tc1 0.7500 0.7500 0.7500
Bi1 0.2500 0.2500 0.2500

Output
**Crystal system**: cubic
**Symmetry**: F-43m (216)
**Final energy**: -6.948 eV per atom

No. 7
First-principles (PBE) data for Tl2InCuCl6 after structural relaxation, as listed in OQMD via LeMat-Bulk.

abc: 7.0603 7.0603 7.3934
angles: 120.71 120.71 61.67
Element x y z (fractional)
Tl1 0.2501 0.2501 0.2462
Tl2 0.7499 0.7499 0.7538
In1 0.5000 0.5000 0.0000
Cu1 0.0000 0.0000 0.5000
Cl1 0.2230 0.7170 0.2129
Cl2 0.2336 0.2336 0.6752
Cl3 0.2830 0.7770 0.7871
Cl4 0.7170 0.2230 0.2129
Cl5 0.7664 0.7664 0.3248
Cl6 0.7770 0.2830 0.7871

Output
**Crystal system**: monoclinic
**Symmetry**: C2/m (12)
**Final energy**: -3.143 eV per atom

No. 8
First-principles (PBE) data for SmErBe after structural relaxation, as listed in OQMD via LeMat-Bulk.

abc: 4.7948 4.7948 4.7948
angles: 60.00 60.00 60.00
Element x y z (fractional)
Sm1 0.0000 0.0000 0.0000
Er1 0.2500 0.2500 0.2500
Be1 0.7500 0.7500 0.7500

Output
**Crystal system**: cubic
**Symmetry**: F-43m (216)
**Final energy**: -3.376 eV per atom